La2YGe3Pt12: optimized geometry, PBE.

Properties
Space group: R-3m (166)
Fermi-level density of states, states/eV per cell: 7.76
ΔH_f (0 K), eV per formula unit: -7.7

Cell lengths 7.861, 7.861, 7.861 Å; angles 64.88, 64.88, 64.88 degrees
Fractional positions:
La 0.100 0.100 0.100
La 0.900 0.900 0.900
Y 0.500 0.500 0.500
Ge 0.000 0.500 0.500
Ge 0.500 0.000 0.500
Ge 0.500 0.500 0.000
Pt 0.103 0.649 0.649
Pt 0.141 0.141 0.594
Pt 0.141 0.594 0.141
Pt 0.351 0.351 0.897
Pt 0.351 0.897 0.351
Pt 0.406 0.859 0.859
Pt 0.594 0.141 0.141
Pt 0.649 0.103 0.649
Pt 0.649 0.649 0.103
Pt 0.859 0.406 0.859
Pt 0.859 0.859 0.406
Pt 0.897 0.351 0.351

TaNiIr2: optimized geometry, PBE.

Properties
Space group: R-3m (166)
Fermi-level density of states, states/eV per cell: 6.68
ΔH_f (0 K), eV per formula unit: -0.4

Cell lengths 8.904, 8.904, 8.904 Å; angles 17.99, 17.99, 17.99 degrees
Fractional positions:
Ta 0.000 0.000 0.000
Ni 0.500 0.500 0.500
Ir 0.246 0.246 0.246
Ir 0.754 0.754 0.754

SiSb2As: optimized geometry, PBE.

Properties
Space group: Pmmm (47)
Uncorrected formation energy, eV per atom: 0.48
Energy relative to the lowest polymorph listed for this composition, kJ/mol of formula units: 122.4
Fermi-level density of states, states/eV per cell: 2.14

Cell lengths 3.680, 4.768, 5.163 Å; angles 90.00, 90.00, 90.00 degrees
Fractional positions:
Si 0.000 0.000 0.000
Sb 0.000 0.500 0.500
Sb 0.500 0.500 0.000
As 0.500 0.000 0.500

LiCd2Cl6: optimized geometry, PBE.

Properties
Space group: P2_1/c (14)
Uncorrected formation energy, eV per atom: -1.00
Fermi-level density of states, states/eV per cell: 13.48

Cell lengths 6.627, 5.825, 13.217 Å; angles 90.00, 119.70, 90.00 degrees
Fractional positions:
Li 0.000 0.000 0.000
Li 0.000 0.500 0.500
Cd 0.329 0.042 0.822
Cd 0.329 0.458 0.322
Cd 0.671 0.542 0.678
Cd 0.671 0.958 0.178
Cl 0.023 0.173 0.175
Cl 0.023 0.327 0.675
Cl 0.314 0.690 0.145
Cl 0.314 0.810 0.645
Cl 0.354 0.226 0.019
Cl 0.354 0.274 0.519
Cl 0.646 0.726 0.481
Cl 0.646 0.774 0.981
Cl 0.686 0.190 0.355
Cl 0.686 0.310 0.855
Cl 0.977 0.673 0.325
Cl 0.977 0.827 0.825

Which value of Fermi-level density of states does entry 2 give?
6.68 states/eV per cell

What is the Fermi-level density of states in the first record?
7.76 states/eV per cell

Which of these has the lowest Fermi-level density of states?
SiSb2As